Entry from Alexandria via LeMat-Bulk: a relaxed HgTeSe2 crystal (PBE-GGA).

Summary:
The uncorrected formation energy comes out at 0.01 eV per atom. The excess energy over the best structure of this formula in the dataset is 0.098 eV/atom.

Cell lengths 3.9591, 3.9591, 31.9733 Å; angles 90.00, 90.00, 120.00 degrees
With the nearest neighbours (Å) after each atom.
Element x y z (fractional)
1 Hg 0.0000 0.0000 0.0000  2 Se 3.65, 6 Hg 3.96
2 Hg 0.3333 0.6667 0.6667  2 Se 3.65, 6 Hg 3.96
3 Hg 0.6667 0.3333 0.3333  2 Se 3.65, 6 Hg 3.96
4 Te 0.0000 0.0000 0.5000  6 Se 2.84
5 Te 0.3333 0.6667 0.1667  6 Se 2.84
6 Te 0.6667 0.3333 0.8333  6 Se 2.84
7 Se 0.0000 0.0000 0.1142  3 Te 2.84
8 Se 0.0000 0.0000 0.8858  3 Te 2.84
9 Se 0.3333 0.6667 0.5525  3 Te 2.84
10 Se 0.3333 0.6667 0.7809  3 Te 2.84
11 Se 0.6667 0.3333 0.2191  3 Te 2.84
12 Se 0.6667 0.3333 0.4475  3 Te 2.84



Entry from Alexandria via LeMat-Bulk: a relaxed HgTeSe2 crystal (PBE-GGA).

Summary:
The uncorrected formation energy comes out at 0.32 eV per atom. The excess energy over the best structure of this formula in the dataset is 0.406 eV/atom.

Cell lengths 7.2361, 7.2361, 7.2361 Å; angles 90.00, 90.00, 90.00 degrees
With the nearest neighbours (Å) after each atom.
Element x y z (fractional)
1 Hg 0.0000 0.0000 0.0000  8 Se 3.13
2 Hg 0.0000 0.5000 0.5000  8 Se 3.13
3 Hg 0.5000 0.0000 0.5000  8 Se 3.13
4 Hg 0.5000 0.5000 0.0000  8 Se 3.13
5 Te 0.0000 0.0000 0.5000  8 Se 3.13
6 Te 0.0000 0.5000 0.0000  8 Se 3.13
7 Te 0.5000 0.0000 0.0000  8 Se 3.13
8 Te 0.5000 0.5000 0.5000  8 Se 3.13
9 Se 0.2500 0.2500 0.2500  4 Hg 3.13, 4 Te 3.13
10 Se 0.2500 0.2500 0.7500  4 Hg 3.13, 4 Te 3.13
11 Se 0.2500 0.7500 0.2500  4 Hg 3.13, 4 Te 3.13
12 Se 0.2500 0.7500 0.7500  4 Hg 3.13, 4 Te 3.13
13 Se 0.7500 0.2500 0.2500  4 Hg 3.13, 4 Te 3.13
14 Se 0.7500 0.2500 0.7500  4 Hg 3.13, 4 Te 3.13
15 Se 0.7500 0.7500 0.2500  4 Hg 3.13, 4 Te 3.13
16 Se 0.7500 0.7500 0.7500  4 Te 3.13, 4 Hg 3.13



Entry from Alexandria via LeMat-Bulk: a relaxed Hg2TeSe crystal (PBE-GGA).

Summary:
The uncorrected formation energy comes out at 0.26 eV per atom. The excess energy over the best structure of this formula in the dataset is 0.445 eV/atom.

Cell lengths 5.2955, 5.2955, 7.2394 Å; angles 90.00, 90.00, 90.00 degrees
With the nearest neighbours (Å) after each atom.
Element x y z (fractional)
1 Hg 0.0000 0.0000 0.0000  4 Hg 3.21, 4 Se 3.21
2 Hg 0.0000 0.5000 0.2500  4 Hg 3.21, 4 Te 3.21
3 Hg 0.5000 0.0000 0.7500  4 Hg 3.21, 4 Te 3.21
4 Hg 0.5000 0.5000 0.5000  4 Hg 3.21, 4 Se 3.21
5 Te 0.0000 0.0000 0.5000  4 Hg 3.21, 4 Se 3.21
6 Te 0.5000 0.5000 0.0000  4 Hg 3.21, 4 Se 3.21
7 Se 0.0000 0.5000 0.7500  4 Hg 3.21, 4 Te 3.21
8 Se 0.5000 0.0000 0.2500  4 Hg 3.21, 4 Te 3.21



Entry from Alexandria via LeMat-Bulk: a relaxed HgTeSe2 crystal (PBE-GGA).

Summary:
The uncorrected formation energy comes out at 0.24 eV per atom. The excess energy over the best structure of this formula in the dataset is 0.329 eV/atom.

Cell lengths 3.9476, 3.9476, 8.9777 Å; angles 90.00, 90.00, 90.00 degrees
With the nearest neighbours (Å) after each atom.
Element x y z (fractional)
1 Hg 0.0000 0.0000 0.0000  4 Te 2.79
2 Te 0.5000 0.5000 0.0000  4 Hg 2.79
3 Se 0.0000 0.5000 0.5000  4 Se 2.79
4 Se 0.5000 0.0000 0.5000  4 Se 2.79



Entry from Alexandria via LeMat-Bulk: a relaxed HgTeSe2 crystal (PBE-GGA).

Summary:
The uncorrected formation energy comes out at 0.17 eV per atom. The excess energy over the best structure of this formula in the dataset is 0.253 eV/atom.

Cell lengths 4.0157, 7.9496, 7.8138 Å; angles 90.00, 90.00, 90.00 degrees
With the nearest neighbours (Å) after each atom.
Element x y z (fractional)
1 Hg 0.0000 0.0000 0.0000  2 Se 2.77, 2 Te 2.98
2 Hg 0.5000 0.5000 0.5000  2 Se 2.77, 2 Te 2.98
3 Te 0.0000 0.5000 0.2184  2 Se 2.76, 2 Hg 2.98
4 Te 0.5000 0.0000 0.7184  2 Se 2.76, 2 Hg 2.98
5 Se 0.0000 0.0000 0.4755  2 Se 2.70, 2 Te 2.76
6 Se 0.0000 0.5000 0.7439  2 Se 2.70, 2 Hg 2.77
7 Se 0.5000 0.0000 0.2439  2 Se 2.70, 2 Hg 2.77
8 Se 0.5000 0.5000 0.9755  2 Se 2.70, 2 Te 2.76



Entry from Alexandria via LeMat-Bulk: a relaxed HgTeSe2 crystal (PBE-GGA).

Summary:
The uncorrected formation energy comes out at 0.08 eV per atom. The excess energy over the best structure of this formula in the dataset is 0.172 eV/atom.

Cell lengths 3.8702, 3.8702, 9.0348 Å; angles 90.00, 90.00, 90.00 degrees
With the nearest neighbours (Å) after each atom.
Element x y z (fractional)
1 Hg 0.0000 0.0000 0.0000  4 Se 2.75
2 Te 0.5000 0.5000 0.4711  4 Se 2.84
3 Se 0.0000 0.0000 0.3861  4 Te 2.84
4 Se 0.5000 0.5000 0.9734  4 Hg 2.75



Entry from Alexandria via LeMat-Bulk: a relaxed Hg2TeSe crystal (PBE-GGA).

Summary:
The uncorrected formation energy comes out at 0.04 eV per atom. The excess energy over the best structure of this formula in the dataset is 0.221 eV/atom.

Cell lengths 13.8743, 4.1508, 4.1582 Å; angles 90.00, 106.13, 90.00 degrees
With the nearest neighbours (Å) after each atom.
Element x y z (fractional)
1 Hg 0.2391 0.0000 0.2402  4 Hg 2.95, 1 Te 3.19
2 Hg 0.2609 0.5000 0.7598  4 Hg 2.95, 1 Te 3.19
3 Hg 0.7391 0.5000 0.2402  4 Hg 2.95, 1 Te 3.19
4 Hg 0.7609 0.0000 0.7598  4 Hg 2.95, 1 Te 3.19
5 Te 0.0000 0.0000 0.0000  4 Se 2.94, 2 Hg 3.19
6 Te 0.5000 0.5000 0.0000  4 Se 2.94, 2 Hg 3.19
7 Se 0.0000 0.5000 0.5000  4 Te 2.94
8 Se 0.5000 0.0000 0.5000  4 Te 2.94



Entry from Alexandria via LeMat-Bulk: a relaxed Hg4TeSe3 crystal (PBE-GGA).

Summary:
The uncorrected formation energy comes out at -0.19 eV per atom.

Cell lengths 8.9874, 7.7821, 7.3654 Å; angles 90.00, 90.00, 90.00 degrees
With the nearest neighbours (Å) after each atom.
Element x y z (fractional)
1 Hg 0.0000 0.1592 0.0000  3 Se 2.72-2.74, 1 Te 2.87
2 Hg 0.0000 0.8182 0.5174  3 Se 2.72-2.73, 1 Te 2.86
3 Hg 0.2426 0.6612 0.0209  3 Se 2.71-2.72, 1 Te 2.85
4 Hg 0.2574 0.3388 0.5209  3 Se 2.71-2.72, 1 Te 2.85
5 Hg 0.5000 0.1818 0.0174  3 Se 2.72-2.73, 1 Te 2.86
6 Hg 0.5000 0.8408 0.5000  3 Se 2.72-2.74, 1 Te 2.87
7 Hg 0.7426 0.3388 0.5209  3 Se 2.71-2.72, 1 Te 2.85
8 Hg 0.7574 0.6612 0.0209  3 Se 2.71-2.72, 1 Te 2.85
9 Te 0.0000 0.1645 0.3893  4 Hg 2.85-2.87
10 Te 0.5000 0.8355 0.8893  4 Hg 2.85-2.87
11 Se 0.0000 0.8266 0.8884  4 Hg 2.71-2.73
12 Se 0.2481 0.3344 0.8906  4 Hg 2.72-2.74
13 Se 0.2519 0.6656 0.3906  4 Hg 2.72-2.74
14 Se 0.5000 0.1734 0.3884  4 Hg 2.71-2.73
15 Se 0.7481 0.6656 0.3906  4 Hg 2.72-2.74
16 Se 0.7519 0.3344 0.8906  4 Hg 2.72-2.74



Entry from Alexandria via LeMat-Bulk: a relaxed HgTeSe2 crystal (PBE-GGA).

Summary:
The uncorrected formation energy comes out at 0.36 eV per atom. The excess energy over the best structure of this formula in the dataset is 0.450 eV/atom.

Cell lengths 6.0914, 8.0517, 4.0299 Å; angles 90.00, 90.00, 90.00 degrees
With the nearest neighbours (Å) after each atom.
Element x y z (fractional)
1 Hg 0.0000 0.0000 0.0000  2 Te 3.05, 8 Se 3.23
2 Hg 0.5000 0.5000 0.0000  2 Te 3.05, 8 Se 3.23
3 Te 0.0000 0.5000 0.0000  2 Hg 3.05, 8 Se 3.23
4 Te 0.5000 0.0000 0.0000  2 Hg 3.05, 8 Se 3.23
5 Se 0.2500 0.2500 0.5000  2 Se 3.05, 4 Hg 3.23, 4 Te 3.23
6 Se 0.2500 0.7500 0.5000  2 Se 3.05, 4 Hg 3.23, 4 Te 3.23
7 Se 0.7500 0.2500 0.5000  2 Se 3.05, 4 Hg 3.23, 4 Te 3.23
8 Se 0.7500 0.7500 0.5000  2 Se 3.05, 4 Hg 3.23, 4 Te 3.23



Entry from Alexandria via LeMat-Bulk: a relaxed Hg2Te2Se crystal (PBE-GGA).

Summary:
The uncorrected formation energy comes out at 0.07 eV per atom. The excess energy over the best structure of this formula in the dataset is 0.000 eV/atom.

Cell lengths 8.1786, 8.1786, 4.6223 Å; angles 90.00, 90.00, 90.00 degrees
With the nearest neighbours (Å) after each atom.
Element x y z (fractional)
1 Hg 0.1198 0.3802 0.0000  1 Hg 2.77, 2 Te 2.91
2 Hg 0.3802 0.8802 0.0000  1 Hg 2.77, 2 Te 2.91
3 Hg 0.6198 0.1198 0.0000  1 Hg 2.77, 2 Te 2.91
4 Hg 0.8802 0.6198 0.0000  1 Hg 2.77, 2 Te 2.91
5 Te 0.2275 0.7275 0.5000  2 Se 2.90, 2 Hg 2.91
6 Te 0.2725 0.2275 0.5000  2 Se 2.90, 2 Hg 2.91
7 Te 0.7275 0.7725 0.5000  2 Se 2.90, 2 Hg 2.91
8 Te 0.7725 0.2725 0.5000  2 Se 2.90, 2 Hg 2.91
9 Se 0.0000 0.0000 0.5000  4 Te 2.90
10 Se 0.5000 0.5000 0.5000  4 Te 2.90



Entry from Alexandria via LeMat-Bulk: a relaxed HgTeSe2 crystal (PBE-GGA).

Summary:
The uncorrected formation energy comes out at 0.12 eV per atom. The excess energy over the best structure of this formula in the dataset is 0.211 eV/atom.

Cell lengths 5.7070, 5.7070, 15.9035 Å; angles 90.00, 90.00, 90.00 degrees
With the nearest neighbours (Å) after each atom.
Element x y z (fractional)
1 Hg 0.0000 0.0000 0.0000  4 Se 2.86
2 Hg 0.0000 0.5000 0.2500  4 Se 2.86
3 Hg 0.5000 0.0000 0.7500  4 Se 2.86
4 Hg 0.5000 0.5000 0.5000  4 Se 2.86
5 Te 0.0000 0.0000 0.5000  4 Se 2.80
6 Te 0.0000 0.5000 0.7500  4 Se 2.80
7 Te 0.5000 0.0000 0.2500  4 Se 2.80
8 Te 0.5000 0.5000 0.0000  4 Se 2.80
9 Se 0.2401 0.2500 0.6250  2 Te 2.80, 2 Hg 2.86
10 Se 0.2500 0.7401 0.8750  2 Te 2.80, 2 Hg 2.86
11 Se 0.2500 0.7599 0.3750  2 Te 2.80, 2 Hg 2.86
12 Se 0.2599 0.2500 0.1250  2 Te 2.80, 2 Hg 2.86
13 Se 0.7401 0.7500 0.1250  2 Te 2.80, 2 Hg 2.86
14 Se 0.7500 0.2401 0.3750  2 Te 2.80, 2 Hg 2.86
15 Se 0.7500 0.2599 0.8750  2 Te 2.80, 2 Hg 2.86
16 Se 0.7599 0.7500 0.6250  2 Te 2.80, 2 Hg 2.86



Entry from Alexandria via LeMat-Bulk: a relaxed Hg5TeSe4 crystal (PBE-GGA).

Summary:
The uncorrected formation energy comes out at -0.19 eV per atom.

Cell lengths 4.4838, 4.4838, 36.6915 Å; angles 90.00, 90.00, 120.00 degrees
With the nearest neighbours (Å) after each atom.
Element x y z (fractional)
1 Hg 0.0000 0.0000 0.0000  1 Se 2.70, 3 Te 2.82
2 Hg 0.0000 0.0000 0.1950  4 Se 2.72-2.73
3 Hg 0.0000 0.0000 0.3907  4 Se 2.73
4 Hg 0.0000 0.0000 0.5862  4 Se 2.73
5 Hg 0.0000 0.0000 0.7935  1 Se 2.70, 3 Te 2.82
6 Hg 0.6667 0.3333 0.0973  4 Se 2.72-2.73
7 Hg 0.6667 0.3333 0.2929  4 Se 2.72-2.73
8 Hg 0.6667 0.3333 0.4885  4 Se 2.73
9 Hg 0.6667 0.3333 0.6844  3 Se 2.73, 1 Te 2.88
10 Hg 0.6667 0.3333 0.8912  3 Se 2.74, 1 Te 2.87
11 Te 0.6667 0.3333 0.7629  4 Hg 2.82-2.88
12 Te 0.6667 0.3333 0.9694  4 Hg 2.82-2.87
13 Se 0.0000 0.0000 0.0736  4 Hg 2.70-2.73
14 Se 0.0000 0.0000 0.2692  4 Hg 2.72-2.73
15 Se 0.0000 0.0000 0.4650  4 Hg 2.73
16 Se 0.0000 0.0000 0.6606  4 Hg 2.73
17 Se 0.0000 0.0000 0.8671  4 Hg 2.70-2.74
18 Se 0.6667 0.3333 0.1714  4 Hg 2.72-2.73
19 Se 0.6667 0.3333 0.3671  4 Hg 2.72-2.73
20 Se 0.6667 0.3333 0.5628  4 Hg 2.73